## LaCd2SnPt2 (PBE)

Data for a relaxed structure of LaCd2SnPt2.

Cell: 5.396 5.396 6.630 Å, 114.01 114.01 90.00°
Fractional positions:
1 Cd 0.750 0.250 0.500
2 Pt 0.758 0.758 0.516
3 Pt 0.242 0.242 0.484
4 La 0.500 0.500 0.000
5 Cd 0.250 0.750 0.500
6 Sn 0.000 0.000 0.000

## Properties
Fermi-level density of states = 0.531 states/eV per atom
raw total energy = -0.3069 Ry per atom
spin magnetization = 0.000 μB/atom
ΔE_f = -0.368 eV per atom
V = 157.88 Å³/f.u.